No. 1
# PBE-GGA VAsH, relaxed
data_VAsH
_space_group_name_H-M_alt 'P 32 1 2'
_space_group_IT_number 153
_cell_length_a 4.4235
_cell_length_b 4.4235
_cell_length_c 6.5160
_cell_angle_alpha 90.00
_cell_angle_beta 90.00
_cell_angle_gamma 120.00
loop_
_space_group_symop_operation_xyz
'x,y,z'
'-y,x-y,z+2/3'
'-x+y,-x,z+1/3'
'-y,-x,-z+1/3'
'-x+y,y,-z+2/3'
'x,x-y,-z'
loop_
_atom_site_label
_atom_site_fract_x
_atom_site_fract_y
_atom_site_fract_z
V1 0.1761 0.3523 0.3333
As1 0.5032 0.0064 0.3333
H1 0.4836 0.2418 0.0000
# * polymorph energy (0 for the lowest one): 175 kJ/mol of formula units

No. 2
# PBE-GGA V5As2H2, relaxed
data_V5As2H2
_space_group_name_H-M_alt 'C 1 2/m 1'
_space_group_IT_number 12
_cell_length_a 9.026
_cell_length_b 3.780
_cell_length_c 6.520
_cell_angle_alpha 90.00
_cell_angle_beta 99.31
_cell_angle_gamma 90.00
loop_
_space_group_symop_operation_xyz
'x,y,z'
'-x,-y,-z'
'-x,y,-z'
'x,-y,z'
'x+1/2,y+1/2,z'
'-x+1/2,-y+1/2,-z'
'-x+1/2,y+1/2,-z'
'x+1/2,-y+1/2,z'
loop_
_atom_site_label
_atom_site_fract_x
_atom_site_fract_y
_atom_site_fract_z
V1 0.000 0.000 0.000
V2 0.129 0.000 0.610
V3 0.160 0.500 0.955
As1 0.079 0.500 0.316
H1 0.165 0.000 0.888
# * uncorrected energy: -0.2537 Ha/atom

No. 3
# PBE-GGA V8As2H, relaxed
data_V8As2H
_space_group_name_H-M_alt 'C 1 2/m 1'
_space_group_IT_number 12
_cell_length_a 13.763
_cell_length_b 4.262
_cell_length_c 5.065
_cell_angle_alpha 90.00
_cell_angle_beta 110.86
_cell_angle_gamma 90.00
loop_
_space_group_symop_operation_xyz
'x,y,z'
'-x,-y,-z'
'-x,y,-z'
'x,-y,z'
'x+1/2,y+1/2,z'
'-x+1/2,-y+1/2,-z'
'-x+1/2,y+1/2,-z'
'x+1/2,-y+1/2,z'
loop_
_atom_site_label
_atom_site_fract_x
_atom_site_fract_y
_atom_site_fract_z
V1 0.006 0.000 0.268
V2 0.089 0.500 0.191
V3 0.124 0.500 0.735
V4 0.212 0.000 0.615
As1 0.174 0.000 0.094
H1 0.000 0.500 0.500
# * uncorrected energy: -0.2927 Ha/atom